{"formula": "Ac2ScSn4Pd3", "functional": "GGA-PBE", "state": "optimized geometry", "cell": [[4.5678, 0.0000, 0.0000], [0.0000, 4.5678, 0.0000], [0.0000, 0.0000, 11.9831]], "species": ["Ac", "Ac", "Sc", "Sn", "Sn", "Sn", "Sn", "Pd", "Pd", "Pd"], "frac_coords": [[0.0000, 0.5000, 0.2408], [0.5000, 0.0000, 0.7592], [0.0000, 0.0000, 0.5000], [0.0000, 0.0000, 0.0000], [0.0000, 0.5000, 0.6451], [0.5000, 0.0000, 0.3549], [0.5000, 0.5000, 0.0000], [0.0000, 0.5000, 0.8716], [0.5000, 0.0000, 0.1284], [0.5000, 0.5000, 0.5000]], "dos_at_fermi_per_ev_atom": 0.49, "rho_g_cm3": 8.59, "delta_e_f_ev_per_atom": -0.79}



{"formula": "Ac2ScSn3Pd4", "functional": "GGA-PBE", "state": "optimized geometry", "cell": [[4.6757, 0.0000, 0.0000], [0.0000, 4.6757, 0.0000], [0.0000, 0.0000, 10.9491]], "species": ["Ac", "Ac", "Sc", "Sn", "Sn", "Sn", "Pd", "Pd", "Pd", "Pd"], "frac_coords": [[0.0000, 0.5000, 0.2366], [0.5000, 0.0000, 0.7634], [0.0000, 0.0000, 0.5000], [0.0000, 0.5000, 0.8756], [0.5000, 0.0000, 0.1244], [0.5000, 0.5000, 0.5000], [0.0000, 0.0000, 0.0000], [0.0000, 0.5000, 0.6328], [0.5000, 0.0000, 0.3672], [0.5000, 0.5000, 0.0000]], "dos_at_fermi_per_ev_atom": 0.61, "rho_g_cm3": 8.88, "delta_e_f_ev_per_atom": -0.84}



{"formula": "Ac2ScSnPd6", "functional": "GGA-PBE", "state": "optimized geometry", "cell": [[5.3376, 0.0000, 0.0000], [1.2262, 6.3827, 0.0000], [2.1851, 1.6509, 6.3842]], "species": ["Ac", "Ac", "Sc", "Sn", "Pd", "Pd", "Pd", "Pd", "Pd", "Pd"], "frac_coords": [[0.0183, 0.3498, 0.3037], [0.9817, 0.6502, 0.6963], [0.5000, 0.0000, 0.0000], [0.5000, 0.0000, 0.5000], [0.0443, 0.1150, 0.7862], [0.3614, 0.6853, 0.9095], [0.4571, 0.6501, 0.3119], [0.5429, 0.3499, 0.6881], [0.6386, 0.3147, 0.0905], [0.9557, 0.8850, 0.2138]], "dos_at_fermi_per_ev_atom": 0.56, "rho_g_cm3": 9.59, "delta_e_f_ev_per_atom": -0.70}



{"formula": "Ac2ScTe5Pd", "functional": "GGA-PBE", "state": "optimized geometry", "cell": [[2.1839, -9.7964, 0.0000], [2.1839, 9.7964, 0.0000], [0.0000, 0.0000, 13.1360]], "species": ["Ac", "Ac", "Ac", "Ac", "Sc", "Sc", "Te", "Te", "Te", "Te", "Te", "Te", "Te", "Te", "Te", "Te", "Pd", "Pd"], "frac_coords": [[0.1182, 0.8818, 0.5000], [0.1234, 0.8766, 0.1204], [0.8766, 0.1234, 0.6204], [0.8818, 0.1182, 0.0000], [0.1830, 0.8170, 0.8156], [0.8170, 0.1830, 0.3156], [0.0383, 0.9617, 0.8553], [0.2940, 0.7060, 0.4678], [0.3004, 0.6996, 0.1585], [0.3412, 0.6588, 0.8112], [0.4996, 0.5004, 0.0772], [0.5004, 0.4996, 0.5772], [0.6588, 0.3412, 0.3112], [0.6996, 0.3004, 0.6585], [0.7060, 0.2940, 0.9678], [0.9617, 0.0383, 0.3553], [0.4232, 0.5768, 0.2496], [0.5768, 0.4232, 0.7496]], "e_tot_ev_per_atom": -5.211, "dos_at_fermi_per_ev_atom": 0.48, "rho_g_cm3": 7.35}